## a
A geometry-optimized LaTa3O structure. Source: Alexandria via LeMat-Bulk, functional PBE.

Summary:
- Crystal system: cubic
- SG: No. 221
- DOS at the Fermi energy: 5.05 states/eV per cell

Unit cell a=4.490 b=4.490 c=4.490 alpha=90.00 beta=90.00 gamma=90.00
Fractional coordinates of all 5 atoms:
La  0.000  0.000  0.000
Ta  0.000  0.500  0.500
Ta  0.500  0.000  0.500
Ta  0.500  0.500  0.000
O  0.500  0.500  0.500

## b
A geometry-optimized LaTa3O structure. Source: Alexandria via LeMat-Bulk, functional PBE.

Summary:
- Crystal system: cubic
- SG: No. 221
- DOS at the Fermi energy: 6.76 states/eV per cell

Unit cell a=4.918 b=4.918 c=4.918 alpha=90.00 beta=90.00 gamma=90.00
Fractional coordinates of all 5 atoms:
La  0.000  0.000  0.000
Ta  0.000  0.000  0.500
Ta  0.000  0.500  0.000
Ta  0.500  0.000  0.000
O  0.500  0.500  0.500

Most stable structure among those shown: a.